[1]
Compound: NaRePt
Source: Alexandria via LeMat-Bulk
Functional: GGA-PBE
Structure: relaxed

abc: 8.6480 4.8737 4.8737
angles: 146.01 110.07 69.93
Closest atoms and distances in Å follow each position.
Fractional coordinates of all 6 atoms:
Re 0.9607 0.6532 0.3468  5 Re 2.57-2.85, 4 Pt 2.65-2.77
Re 0.0393 0.3468 0.6532  5 Re 2.57-2.85, 4 Pt 2.65-2.77
Pt 0.2210 0.9864 0.0136  4 Re 2.65-2.77, 2 Pt 2.85, 1 Na 2.89
Pt 0.7790 0.0136 0.9864  4 Re 2.65-2.77, 2 Pt 2.85, 1 Na 2.89
Na 0.4015 0.6588 0.3412  5 Na 2.84-3.15, 3 Pt 2.89-2.97
Na 0.5985 0.3412 0.6588  5 Na 2.84-3.15, 3 Pt 2.89-2.97

As for the space group: C2/m. As for the theoretical density: 12.53 g/cm3. The formation energy is 14.4 kJ/mol of atoms.

[2]
Compound: NaRePt
Source: Alexandria via LeMat-Bulk
Functional: GGA-PBE
Structure: relaxed

abc: 10.3838 4.7700 2.7846
angles: 125.70 90.60 89.67
Closest atoms and distances in Å follow each position.
Fractional coordinates of all 6 atoms:
Na 0.7194 0.3005 0.7621  2 Na 2.78, 4 Pt 2.98-2.99
Na 0.9680 0.8003 0.7810  2 Na 2.78, 4 Pt 2.98-2.99
Pt 0.1412 0.3006 0.7853  5 Re 2.71-2.85, 2 Pt 2.78, 4 Na 2.98-2.99
Pt 0.5462 0.8002 0.7583  5 Re 2.71-2.85, 2 Pt 2.78, 4 Na 2.98-2.99
Re 0.4016 0.3000 0.7275  6 Re 2.54-2.82, 3 Pt 2.71-2.78
Re 0.2858 0.8009 0.8161  6 Re 2.54-2.82, 3 Pt 2.71-2.78

As for the space group: P2_1/m. As for the theoretical density: 11.99 g/cm3. The formation energy is 8.0 kJ/mol of atoms.

[3]
Compound: NaRePt
Source: Alexandria via LeMat-Bulk
Functional: GGA-PBE
Structure: relaxed

abc: 4.9468 5.6427 5.3885
angles: 58.43 62.68 90.00
Closest atoms and distances in Å follow each position.
Fractional coordinates of all 6 atoms:
Re 0.0000 0.0000 0.5000  2 Re 2.47, 4 Pt 2.69
Re 0.5000 0.0000 0.5000  2 Re 2.47, 4 Pt 2.69
Pt 0.5000 0.5000 0.0000  4 Re 2.69, 2 Pt 2.82
Pt 0.5000 0.0000 0.0000  4 Re 2.69, 2 Pt 2.82
Na 0.1315 0.3815 0.7370  6 Pt 3.02-3.18, 2 Na 3.08, 6 Re 3.20-3.21
Na 0.8685 0.6185 0.2630  6 Pt 3.02-3.18, 2 Na 3.08, 6 Re 3.20-3.21

As for the space group: Imma. As for the theoretical density: 12.44 g/cm3. The formation energy is 27.4 kJ/mol of atoms.

[4]
Compound: NaRePt
Source: Alexandria via LeMat-Bulk
Functional: GGA-PBE
Structure: relaxed

abc: 7.5122 4.3687 4.3687
angles: 59.98 106.89 73.11
Closest atoms and distances in Å follow each position.
Fractional coordinates of all 6 atoms:
Na 0.8436 0.8735 0.2315  3 Na 2.52
Na 0.8438 0.5399 0.8984  3 Na 2.52
Pt 0.1242 0.9263 0.8454  1 Pt 2.68, 6 Re 2.86
Pt 0.5632 0.4871 0.2846  1 Pt 2.68, 6 Re 2.86
Re 0.3437 0.3734 0.7316  3 Re 2.52
Re 0.3437 0.0401 0.3984  3 Re 2.52

As for the space group: P6/mmm. As for the theoretical density: 13.29 g/cm3. The formation energy is 17.1 kJ/mol of atoms.

[5]
Compound: NaRePt
Source: Alexandria via LeMat-Bulk
Functional: GGA-PBE
Structure: relaxed

abc: 4.4708 2.7662 8.4490
angles: 90.00 101.31 90.00
Closest atoms and distances in Å follow each position.
Fractional coordinates of all 6 atoms:
Re 0.6109 0.2500 0.1233  4 Re 2.53-2.77, 4 Pt 2.71-2.74
Re 0.3891 0.7500 0.8767  4 Re 2.53-2.77, 4 Pt 2.71-2.74
Pt 0.8528 0.2500 0.7895  4 Re 2.71-2.74, 2 Pt 2.77, 2 Na 2.99-3.01
Pt 0.1472 0.7500 0.2105  4 Re 2.71-2.74, 2 Pt 2.77, 2 Na 2.99-3.01
Na 0.2668 0.2500 0.5478  6 Na 2.74-2.77, 2 Pt 2.99-3.01, 2 Re 3.06
Na 0.7332 0.7500 0.4522  6 Na 2.74-2.77, 2 Pt 2.99-3.01, 2 Re 3.06

As for the space group: P2_1/m. As for the theoretical density: 13.10 g/cm3. The formation energy is 18.3 kJ/mol of atoms.

[6]
Compound: NaRePt
Source: Alexandria via LeMat-Bulk
Functional: GGA-PBE
Structure: relaxed

abc: 4.1903 4.1903 9.3571
angles: 90.00 90.00 120.00
Closest atoms and distances in Å follow each position.
Fractional coordinates of all 6 atoms:
Re 0.3333 0.6667 0.2500  3 Pt 2.42
Re 0.6667 0.3333 0.7500  3 Pt 2.42
Pt 0.3333 0.6667 0.7500  3 Re 2.42
Pt 0.6667 0.3333 0.2500  3 Re 2.42
Na 0.0000 0.0000 0.0000  6 Re 3.37, 6 Pt 3.37
Na 0.0000 0.0000 0.5000  6 Re 3.37, 6 Pt 3.37

As for the space group: P6_3/mmc. As for the theoretical density: 9.44 g/cm3. The formation energy is 84.4 kJ/mol of atoms.

Record-wise D(E_F) values, in states/eV/f.u.: 1.80 2.01 3.09 1.08 1.96 4.29
Record-wise uncorrected energy values, in eV per atom: -6.45 -6.52 -6.32 -6.42 -6.41 -5.73
Record-wise energy above the most stable polymorph in this dataset values, in eV per formula unit: 0.535 0.336 0.941 0.620 0.658 2.712